Density functional theory data (GGA-PBE) for crystalline ScMo3 at its relaxed geometry.

Properties
The value obtained for the formation energy is 0.329 eV per atom. The value obtained for the total energy is -9.377 eV/atom. The value obtained for the total magnetization is 0.00 Bohr magnetons per cell.

Cell: 3.0347 3.0347 26.3166 Å, 90.00 90.00 120.00°
Last column: nearest neighbours and their distance in Å.
Space group R-3m (No. 166, hexagonal axes)
Unique sites:
Sc: 0.0000 0.0000 0.0000 [3 per cell]  6 Mo 2.96, 6 Sc 3.03
Mo: 0.0000 0.0000 0.2428 [6 per cell]  3 Mo 2.66, 3 Sc 2.96
Mo: 0.0000 0.0000 0.5000 [3 per cell]  6 Mo 2.66

Density functional theory data (GGA-PBE) for crystalline LuCoSnIr at its relaxed geometry.

Properties
The value obtained for the formation energy is -0.485 eV per atom. The value obtained for the total energy is -6.608 eV/atom. The value obtained for the total magnetization is 4.14 Bohr magnetons per cell.

Cell: 6.5003 6.5003 6.5003 Å, 90.00 90.00 90.00°
Last column: nearest neighbours and their distance in Å.
Space group F-43m (No. 216)
Unique sites:
Lu: 0.0000 0.0000 0.0000 [4 per cell]  4 Ir 2.81, 4 Co 2.81
Co: 0.2500 0.2500 0.7500 [4 per cell]  4 Sn 2.81, 4 Lu 2.81
Sn: 0.0000 0.0000 0.5000 [4 per cell]  4 Co 2.81, 4 Ir 2.81
Ir: 0.2500 0.2500 0.2500 [4 per cell]  4 Sn 2.81, 4 Lu 2.81

Density functional theory data (GGA-PBE) for crystalline BaZnP2 at its relaxed geometry.

Properties
The value obtained for the formation energy is -0.394 eV per atom. The value obtained for the total energy is -3.898 eV/atom. The value obtained for the total magnetization is 0.00 Bohr magnetons per cell.

Cell: 8.3947 4.6670 5.4609 Å, 90.00 107.79 90.00°
Last column: nearest neighbours and their distance in Å.
Space group C2/m (No. 12)
Unique sites:
Ba: 0.0000 0.0000 0.0000 [2 per cell]  8 P 3.29-3.49, 4 Zn 3.59
Zn: 0.0000 0.5000 0.5000 [2 per cell]  2 P 2.30
P: 0.2489 0.5000 0.4055 [4 per cell]  1 Zn 2.30, 2 P 2.55

Density functional theory data (GGA-PBE) for crystalline AcAlSb at its relaxed geometry.

Properties
The value obtained for the total energy is -4.530 eV/atom. The value obtained for the total magnetization is 0.00 Bohr magnetons per cell.

Cell: 4.8981 4.8981 4.3061 Å, 90.00 90.00 120.00°
Last column: nearest neighbours and their distance in Å.
Space group P3m1 (No. 156)
Unique sites:
Ac: 0.0000 0.0000 0.0000 [1 per cell]  6 Al 3.55-3.56, 6 Sb 3.55-3.56
Al: 0.6667 0.3333 0.5020 [1 per cell]  3 Sb 2.83
Sb: 0.3333 0.6667 0.4993 [1 per cell]  3 Al 2.83

Density functional theory data (GGA-PBE) for crystalline YSb at its relaxed geometry.

Properties
The value obtained for the total energy is -6.459 eV/atom. The value obtained for the total magnetization is 0.00 Bohr magnetons per cell.

Cell: 6.2095 6.2095 6.2095 Å, 90.00 90.00 90.00°
Last column: nearest neighbours and their distance in Å.
Space group Fm-3m (No. 225)
Unique sites:
Y: 0.0000 0.0000 0.0000 [4 per cell]  6 Sb 3.10
Sb: 0.0000 0.0000 0.5000 [4 per cell]  6 Y 3.10

Density functional theory data (GGA-PBE) for crystalline DyP2PbS8 at its relaxed geometry.

Properties
The value obtained for the total energy is -4.841 eV/atom. The value obtained for the total magnetization is 0.42 Bohr magnetons per cell.

Cell: 5.9912 5.9912 9.0872 Å, 90.00 90.00 120.00°
Last column: nearest neighbours and their distance in Å.
Space group P-3 (No. 147)
Unique sites:
Dy: 0.0000 0.0000 0.0000 [1 per cell]  6 S 2.74
P: 0.3333 0.6667 0.2611 [2 per cell]  4 S 2.04-2.06
Pb: 0.0000 0.0000 0.5000 [1 per cell]  12 S 3.43-3.46
S: 0.0026 0.6564 0.8017 [6 per cell]  1 P 2.06
S: 0.3333 0.6667 0.4855 [2 per cell]  1 P 2.04